BaZnPb4 | the Alexandria database | PBE-GGA | optimized geometry; formation enthalpy at 0 K = -0.089 eV per atom; total DFT energy (no corrections) = -3.094 eV/atom; symmetry = F-43m (216); DOS at the Fermi energy = 2.5 states/eV/cell
1.0
0.000 4.667 4.667
4.667 0.000 4.667
4.667 4.667 0.000
Ba Zn Pb
1 1 4
direct
0.000 0.000 0.000
0.250 0.250 0.250
0.124 0.625 0.625
0.625 0.124 0.625
0.625 0.625 0.124
0.625 0.625 0.625

BaZnPb | the Alexandria database | PBE-GGA | optimized geometry; formation enthalpy at 0 K = -0.353 eV per atom; total DFT energy (no corrections) = -2.655 eV/atom; symmetry = I-4m2 (119); DOS at the Fermi energy = 3.9 states/eV/cell
1.0
-2.446 2.446 8.498
2.446 -2.446 8.498
2.446 2.446 -8.498
Ba Zn Pb
2 2 2
direct
0.000 0.000 0.000
0.750 0.250 0.500
0.424 0.424 0.000
0.576 0.576 0.000
0.158 0.658 0.500
0.342 0.842 0.500

Ba6Zn2Pb | the Alexandria database | PBE-GGA | optimized geometry; formation enthalpy at 0 K = -0.217 eV per atom; total DFT energy (no corrections) = -2.194 eV/atom; symmetry = Immm (71); DOS at the Fermi energy = 21.7 states/eV/cell
1.0
-5.602 5.963 6.021
5.602 -5.963 6.021
5.602 5.963 -6.021
Ba Zn Pb
12 4 2
direct
0.058 0.811 0.246
0.176 0.444 0.268
0.176 0.908 0.732
0.333 0.301 0.633
0.333 0.699 0.032
0.435 0.189 0.246
0.565 0.811 0.754
0.667 0.301 0.968
0.667 0.699 0.367
0.824 0.092 0.268
0.824 0.556 0.732
0.942 0.189 0.754
0.109 0.500 0.609
0.345 0.345 0.000
0.655 0.655 0.000
0.891 0.500 0.391
0.000 0.000 0.000
0.500 0.000 0.500

BaZnPb2 | the Alexandria database | PBE-GGA | optimized geometry; formation enthalpy at 0 K = 0.017 eV per atom; total DFT energy (no corrections) = -2.636 eV/atom; symmetry = R-3m (166); DOS at the Fermi energy = 2.3 states/eV/cell
1.0
1.977 1.141 9.703
-1.977 1.141 9.703
0.000 -2.283 9.703
Ba Zn Pb
1 1 2
direct
0.000 0.000 0.000
0.500 0.500 0.500
0.231 0.231 0.231
0.769 0.769 0.769